1.
## Ti2BeTcPb (GGA-PBE)

Data for crystalline Ti2BeTcPb at its relaxed geometry.

```
Ti2BeTcPb
1.0
4.465 0.000 0.000
0.000 4.465 0.000
0.000 0.000 4.197
Ti Be Tc Pb
2 1 1 1
direct
0.000 0.500 0.000
0.500 0.000 0.000
0.000 0.000 0.000
0.000 0.000 0.500
0.500 0.500 0.500
```

Magnetization   0.00 μB per cell
DFT formation energy   0.2073 eV/atom
Calculated total energy   -6.511 eV/atom

***

2.
## BeTlTc2Pb (GGA-PBE)

Data for crystalline BeTlTc2Pb at its relaxed geometry.

```
BeTlTc2Pb
1.0
5.347 0.000 0.000
0.000 5.347 0.000
0.000 0.000 4.508
Be Tl Tc Pb
1 1 2 1
direct
0.000 0.000 0.000
0.500 0.500 0.000
0.000 0.500 0.500
0.500 0.000 0.500
0.000 0.000 0.500
```

Magnetization   6.58 μB per cell
DFT formation energy   1.8230 eV/atom
Calculated total energy   -4.284 eV/atom

***

3.
## Be2TePb (GGA-PBE)

Data for crystalline Be2TePb at its relaxed geometry.

```
Be2TePb
1.0
3.715 0.000 0.000
0.000 3.748 0.000
0.000 0.000 6.135
Be Te Pb
2 1 1
direct
0.000 0.000 0.000
0.000 0.500 0.500
0.500 0.000 0.500
0.500 0.500 0.000
```

Magnetization   0.00 μB per cell
Energy above the most stable polymorph in this dataset   0.527 eV/atom
Calculated total energy   -2.914 eV/atom

***

4.
## BeTePb (GGA-PBE)

Data for crystalline BeTePb at its relaxed geometry.

```
BeTePb
1.0
3.568 0.000 0.000
0.000 3.568 0.000
0.000 0.000 12.189
Be Te Pb
2 2 2
direct
0.000 0.000 0.000
0.500 0.500 0.500
0.000 0.000 0.557
0.500 0.500 0.057
0.000 0.000 0.311
0.500 0.500 0.811
```

Magnetization   0.00 μB per cell
Energy above the most stable polymorph in this dataset   0.227 eV/atom
Calculated total energy   -3.244 eV/atom